Record 1
{
  "formula": "ZnCd2Hg",
  "functional": "PBE",
  "state": "optimized geometry",
  "cell": [[5.0475, -0.0704, 0.0644], [3.7257, 3.4062, 0.0644], [0.8698, 0.3307, 4.9983]],
  "species": ["Cd", "Cd", "Zn", "Hg"],
  "fractional_positions": [[0.7491, 0.7491, 0.7546], [0.9973, 0.9973, 0.0125], [0.2510, 0.2510, 0.2454], [0.5026, 0.5026, 0.4876]],
  "spacegroup": "Cm, No. 8"
}

***

Record 2
{
  "formula": "ZnCd2Hg",
  "functional": "PBE",
  "state": "optimized geometry",
  "cell": [[-2.0068, 1.9890, 1.7780], [-0.9104, -0.8698, 3.0918], [6.2375, 4.6772, 4.9726]],
  "species": ["Zn", "Cd", "Cd", "Hg"],
  "fractional_positions": [[0.6676, 0.6676, 0.9998], [0.0775, 0.0775, 0.7679], [0.2554, 0.2554, 0.2324], [0.4995, 0.4995, 0.4999]],
  "spacegroup": "Cm, No. 8"
}

***

Number 1: energy of formation 0.22 eV per formula unit. Number 2: energy of formation 0.28 eV per formula unit.